[1]
Compound: HoTmSi2Ir
Source: OQMD
Functional: PBE-GGA
Structure: relaxed

a b c (Å): 5.6466 5.6466 9.9462
angles (deg): 116.44 116.44 43.64
Fractional positions:
Ho: 0.1848 0.1848 0.1083
Ho: 0.8152 0.8152 0.8917
Tm: 0.0046 0.0046 0.6768
Tm: 0.9954 0.9954 0.3232
Si: 0.3606 0.3606 0.4351
Si: 0.4879 0.4879 0.1230
Si: 0.5121 0.5121 0.8770
Si: 0.6394 0.6394 0.5649
Ir: 0.2729 0.2729 0.6276
Ir: 0.7271 0.7271 0.3724

Summary:
Symmetry: C2/m
Spin magnetization, μB per formula unit: 0.0
Volume, Å³ per cell: 192.03
Raw total energy, eV/atom: -6.73

***

[2]
Compound: LiLuInCo
Source: OQMD
Functional: PBE-GGA
Structure: relaxed

a b c (Å): 4.6005 4.6005 4.6005
angles (deg): 60.00 60.00 60.00
Fractional positions:
Li: 0.0000 0.0000 0.0000
Lu: 0.7500 0.7500 0.7500
In: 0.2500 0.2500 0.2500
Co: 0.5000 0.5000 0.5000

Summary:
Symmetry: F-43m
Spin magnetization, μB per formula unit: 0.3
Energy above the most stable polymorph in this dataset, meV per atom: 0.0
Volume, Å³ per cell: 68.85

***

[3]
Compound: HfInCuTeSe2
Source: OQMD
Functional: PBE-GGA
Structure: relaxed

a b c (Å): 7.7735 7.7735 10.5342
angles (deg): 90.00 90.00 151.21
Fractional positions:
Hf: 0.0000 0.0000 0.0000
Hf: 0.0000 0.0000 0.5000
In: 0.2269 0.7731 0.7500
In: 0.7731 0.2269 0.2500
Cu: 0.4643 0.5357 0.2500
Cu: 0.5357 0.4643 0.7500
Te: 0.0819 0.9181 0.2500
Te: 0.9181 0.0819 0.7500
Se: 0.3793 0.6207 0.0536
Se: 0.3793 0.6207 0.4464
Se: 0.6207 0.3793 0.5536
Se: 0.6207 0.3793 0.9464

Summary:
Symmetry: Cmcm
Spin magnetization, μB per formula unit: 0.0
Volume, Å³ per cell: 306.61
Raw total energy, eV/atom: -5.10

***

[4]
Compound: Zr4CuAsC2
Source: OQMD
Functional: PBE-GGA
Structure: relaxed

a b c (Å): 3.4159 3.4159 12.9480
angles (deg): 90.00 90.00 120.00
Fractional positions:
Zr: 0.0000 0.0000 0.1501
Zr: 0.0000 0.0000 0.8499
Zr: 0.3333 0.6667 0.3469
Zr: 0.3333 0.6667 0.6531
Cu: 0.0000 0.0000 0.5000
As: 0.3333 0.6667 0.0000
C: 0.6667 0.3333 0.2485
C: 0.6667 0.3333 0.7515

Summary:
Symmetry: P-6m2
Spin magnetization, μB per formula unit: 0.0
Volume, Å³ per cell: 130.84
Raw total energy, eV/atom: -8.30

***

[5]
Compound: ZrCoCuPb
Source: OQMD
Functional: PBE-GGA
Structure: relaxed

a b c (Å): 4.5578 4.5578 4.5578
angles (deg): 60.00 60.00 60.00
Fractional positions:
Zr: 0.0000 0.0000 0.0000
Co: 0.7500 0.7500 0.7500
Cu: 0.2500 0.2500 0.2500
Pb: 0.5000 0.5000 0.5000

Summary:
Symmetry: F-43m
Spin magnetization, μB per formula unit: 0.0
Energy above the most stable polymorph in this dataset, meV per atom: 0.0
Volume, Å³ per cell: 66.95

***

[6]
Compound: DyTm2Lu
Source: OQMD
Functional: PBE-GGA
Structure: relaxed

a b c (Å): 5.5237 7.0941 7.0941
angles (deg): 120.00 90.00 90.00
Fractional positions:
Dy: 0.2500 0.1666 0.8334
Dy: 0.7500 0.8334 0.1666
Tm: 0.2500 0.1676 0.3337
Tm: 0.2500 0.6661 0.3337
Tm: 0.7500 0.3337 0.1676
Tm: 0.7500 0.3337 0.6661
Lu: 0.2500 0.6662 0.8324
Lu: 0.7500 0.8324 0.6662

Summary:
Symmetry: Ama2
Spin magnetization, μB per formula unit: 0.0
Volume, Å³ per cell: 240.74
Raw total energy, eV/atom: -4.52